# 1
# Pr2Nd3YHo6, relaxed, DFT PBE
data_Pr2Nd3YHo6
_cell_length_a 6.2473
_cell_length_b 10.8175
_cell_length_c 11.8527
_cell_angle_alpha 90.00
_cell_angle_beta 100.08
_cell_angle_gamma 90.00
_space_group_name_H-M_alt 'C 1 2/m 1'
_space_group_IT_number 12
_space_group_name_Hall '-C 2y'
loop_
_atom_site_label
_atom_site_fract_x
_atom_site_fract_y
_atom_site_fract_z
Pr1 0.0000 0.1664 0.0000
Nd1 0.0000 0.0000 0.5000
Nd2 0.0000 0.3332 0.5000
Y1 0.0000 0.5000 0.0000
Ho1 0.2504 0.0000 0.2502
Ho2 0.2498 0.1667 0.7501
# ρ = 7.55 Mg/m³
# formation enthalpy at 0 K = 14 meV per atom

# 2
# W5C, relaxed, DFT PBE
data_W5C
_cell_length_a 3.0760
_cell_length_b 12.4176
_cell_length_c 4.7294
_cell_angle_alpha 90.00
_cell_angle_beta 90.00
_cell_angle_gamma 90.00
_space_group_name_H-M_alt 'C m m m'
_space_group_IT_number 65
_space_group_name_Hall '-C 2 2'
loop_
_atom_site_label
_atom_site_fract_x
_atom_site_fract_y
_atom_site_fract_z
W1 0.0000 0.0000 0.0000
W2 0.0000 0.1267 0.5000
W3 0.0000 0.3328 0.0000
C1 0.0000 0.5000 0.5000
# ρ = 17.12 Mg/m³
# formation enthalpy at 0 K = 642 meV per atom
# offset from the most stable computed form = 152 meV per atom

# 3
# FeRhW2, relaxed, DFT PBE
data_FeRhW2
_cell_length_a 3.3925
_cell_length_b 4.2160
_cell_length_c 8.2090
_cell_angle_alpha 90.00
_cell_angle_beta 90.00
_cell_angle_gamma 90.00
_space_group_name_H-M_alt 'C m m 2'
_space_group_IT_number 35
_space_group_name_Hall 'C 2 -2'
loop_
_atom_site_label
_atom_site_fract_x
_atom_site_fract_y
_atom_site_fract_z
Fe1 0.0000 0.0000 0.0000
Rh1 0.0000 0.5000 0.7681
W1 0.0000 0.0000 0.5182
W2 0.0000 0.5000 0.2436
# ρ = 14.89 Mg/m³
# formation enthalpy at 0 K = 73 meV per atom
# offset from the most stable computed form = 90 meV per atom

# 4
# AcPrY14, relaxed, DFT PBE
data_AcPrY14
_cell_length_a 11.4583
_cell_length_b 7.3731
_cell_length_c 12.7211
_cell_angle_alpha 90.00
_cell_angle_beta 90.00
_cell_angle_gamma 90.00
_space_group_name_H-M_alt 'A m m 2'
_space_group_IT_number 38
_space_group_name_Hall 'A 2 -2'
loop_
_atom_site_label
_atom_site_fract_x
_atom_site_fract_y
_atom_site_fract_z
Ac1 0.0000 0.0000 0.0000
Pr1 0.0000 0.0000 0.4997
Y1 0.0000 0.2491 0.7478
Y2 0.2515 0.0000 0.3311
Y3 0.2545 0.0000 0.8302
Y4 0.2560 0.2488 0.5821
Y5 0.5000 0.0000 0.4987
Y6 0.5000 0.0000 0.9984
Y7 0.5000 0.2498 0.2487
# ρ = 4.98 Mg/m³
# formation enthalpy at 0 K = 12 meV per atom

# 5
# Tb12Tl5In2, relaxed, DFT PBE
data_Tb12Tl5In2
_cell_length_a 17.2950
_cell_length_b 7.2935
_cell_length_c 9.2896
_cell_angle_alpha 90.00
_cell_angle_beta 97.17
_cell_angle_gamma 90.00
_space_group_name_H-M_alt 'C 1 2/m 1'
_space_group_IT_number 12
_space_group_name_Hall '-C 2y'
loop_
_atom_site_label
_atom_site_fract_x
_atom_site_fract_y
_atom_site_fract_z
Tb1 0.0079 0.0000 0.1893
Tb2 0.0416 0.5000 0.6979
Tb3 0.1504 0.2457 0.0035
Tb4 0.1625 0.2595 0.4125
Tl1 0.0000 0.5000 0.0000
Tl2 0.1938 0.0000 0.7295
Tl3 0.2285 0.5000 0.7526
In1 0.0000 0.1848 0.5000
# ρ = 9.02 Mg/m³
# formation enthalpy at 0 K = -115 meV per atom

# 6
# Fe23Ge6, relaxed, DFT PBE
data_Fe23Ge6
_cell_length_a 11.5155
_cell_length_b 11.5155
_cell_length_c 11.5155
_cell_angle_alpha 90.00
_cell_angle_beta 90.00
_cell_angle_gamma 90.00
_space_group_name_H-M_alt 'F m -3 m'
_space_group_IT_number 225
_space_group_name_Hall '-F 4 2 3'
loop_
_atom_site_label
_atom_site_fract_x
_atom_site_fract_y
_atom_site_fract_z
Fe1 0.0000 0.0000 0.0000
Fe2 0.0000 0.2500 0.2500
Fe3 0.1237 0.1237 0.1237
Fe4 0.1629 0.1629 0.3371
Ge1 0.0000 0.0000 0.2595
# ρ = 7.48 Mg/m³
# formation enthalpy at 0 K = 110 meV per atom